This record from Alexandria describes a relaxed structure of Ac8La3Dy2. The functional is PBE.

```
data_Ac8La3Dy2
_chemical_formula_sum 'Ac16 La6 Dy4'
_cell_length_a 8.3785
_cell_length_b 21.3368
_cell_length_c 6.2034
_cell_angle_alpha 90.00
_cell_angle_beta 90.00
_cell_angle_gamma 90.00
_space_group_name_H-M_alt 'C m m m'
_space_group_IT_number 65
_space_group_name_Hall '-C 2 2'
loop_
_atom_site_label
_atom_site_type_symbol
_atom_site_fract_x
_atom_site_fract_y
_atom_site_fract_z
_atom_site_occupancy
Ac1 Ac 0.0000 0.1347 0.0000 1
Ac2 Ac 0.0000 0.3234 0.0000 1
Ac3 Ac 0.2118 0.3920 0.5000 1
La1 La 0.0000 0.0000 0.5000 1
La2 La 0.2040 0.5000 0.0000 1
Dy1 Dy 0.0000 0.2413 0.5000 1
```

Computed properties:
formation enthalpy at 0 K	209.2	meV per atom

This record from Alexandria describes a relaxed structure of AcLa4Dy5. The functional is PBE.

```
data_AcLa4Dy5
_chemical_formula_sum 'Ac1 La4 Dy5'
_cell_length_a 4.2255
_cell_length_b 4.2255
_cell_length_c 19.6513
_cell_angle_alpha 90.00
_cell_angle_beta 90.00
_cell_angle_gamma 90.00
_space_group_name_H-M_alt 'P 4/m m m'
_space_group_IT_number 123
_space_group_name_Hall '-P 4 2'
loop_
_atom_site_label
_atom_site_type_symbol
_atom_site_fract_x
_atom_site_fract_y
_atom_site_fract_z
_atom_site_occupancy
Ac1 Ac 0.0000 0.0000 0.0000 1
La1 La 0.0000 0.0000 0.2063 1
La2 La 0.0000 0.0000 0.4012 1
Dy1 Dy 0.5000 0.5000 0.1077 1
Dy2 Dy 0.5000 0.5000 0.3032 1
Dy3 Dy 0.5000 0.5000 0.5000 1
```

Computed properties:
formation enthalpy at 0 K	81.6	meV per atom

This record from Alexandria describes a relaxed structure of AcLa7Dy2. The functional is PBE.

```
data_AcLa7Dy2
_chemical_formula_sum 'Ac1 La7 Dy2'
_cell_length_a 6.4228
_cell_length_b 6.4665
_cell_length_c 9.8403
_cell_angle_alpha 109.01
_cell_angle_beta 102.65
_cell_angle_gamma 99.59
_space_group_name_H-M_alt 'P -1'
_space_group_IT_number 2
loop_
_space_group_symop_operation_xyz
'x,y,z'
'-x,-y,-z'
loop_
_atom_site_label
_atom_site_type_symbol
_atom_site_fract_x
_atom_site_fract_y
_atom_site_fract_z
_atom_site_occupancy
Ac1 Ac 0.0000 0.0000 0.0000 1
La1 La 0.0034 0.6008 0.2073 1
La2 La 0.4920 0.5995 0.6950 1
La3 La 0.4965 0.2040 0.8955 1
La4 La 0.5000 0.0000 0.5000 1
Dy1 Dy 0.0014 0.2004 0.4049 1
```

Computed properties:
formation enthalpy at 0 K	24.7	meV per atom

This record from Alexandria describes a relaxed structure of Ac12La3Dy. The functional is PBE.

```
data_Ac12La3Dy
_chemical_formula_sum 'Ac12 La3 Dy1'
_cell_length_a 5.5475
_cell_length_b 5.5475
_cell_length_c 22.1531
_cell_angle_alpha 90.00
_cell_angle_beta 90.00
_cell_angle_gamma 90.00
_space_group_name_H-M_alt 'P 4/m m m'
_space_group_IT_number 123
_space_group_name_Hall '-P 4 2'
loop_
_atom_site_label
_atom_site_type_symbol
_atom_site_fract_x
_atom_site_fract_y
_atom_site_fract_z
_atom_site_occupancy
Ac1 Ac 0.0000 0.0000 0.0000 1
Ac2 Ac 0.0000 0.0000 0.2481 1
Ac3 Ac 0.0000 0.0000 0.5000 1
Ac4 Ac 0.0000 0.5000 0.1227 1
Ac5 Ac 0.0000 0.5000 0.3742 1
La1 La 0.5000 0.5000 0.2483 1
La2 La 0.5000 0.5000 0.5000 1
Dy1 Dy 0.5000 0.5000 0.0000 1
```

Computed properties:
formation enthalpy at 0 K	22.8	meV per atom

This record from Alexandria describes a relaxed structure of Ac2La7Dy. The functional is PBE.

```
data_Ac2La7Dy
_chemical_formula_sum 'Ac4 La14 Dy2'
_cell_length_a 12.5484
_cell_length_b 17.6305
_cell_length_c 3.6431
_cell_angle_alpha 90.00
_cell_angle_beta 90.00
_cell_angle_gamma 90.00
_space_group_name_H-M_alt 'C m m m'
_space_group_IT_number 65
_space_group_name_Hall '-C 2 2'
loop_
_atom_site_label
_atom_site_type_symbol
_atom_site_fract_x
_atom_site_fract_y
_atom_site_fract_z
_atom_site_occupancy
Ac1 Ac 0.0000 0.1722 0.0000 1
La1 La 0.0000 0.3341 0.5000 1
La2 La 0.0000 0.5000 0.0000 1
La3 La 0.2407 0.3779 0.0000 1
Dy1 Dy 0.0000 0.0000 0.5000 1
```

Computed properties:
formation enthalpy at 0 K	376.6	meV per atom

This record from Alexandria describes a relaxed structure of Ac2La2Dy7. The functional is PBE.

```
data_Ac2La2Dy7
_chemical_formula_sum 'Ac4 La4 Dy14'
_cell_length_a 17.5647
_cell_length_b 11.9927
_cell_length_c 3.7313
_cell_angle_alpha 90.00
_cell_angle_beta 97.99
_cell_angle_gamma 90.00
_space_group_name_H-M_alt 'C 1 2/m 1'
_space_group_IT_number 12
loop_
_space_group_symop_operation_xyz
'x,y,z'
'-x,-y,-z'
'-x,y,-z'
'x,-y,z'
'x+1/2,y+1/2,z'
'-x+1/2,-y+1/2,-z'
'-x+1/2,y+1/2,-z'
'x+1/2,-y+1/2,z'
loop_
_atom_site_label
_atom_site_type_symbol
_atom_site_fract_x
_atom_site_fract_y
_atom_site_fract_z
_atom_site_occupancy
Ac1 Ac 0.1957 0.0000 0.1708 1
La1 La 0.0000 0.2455 0.0000 1
Dy1 Dy 0.0000 0.0000 0.5000 1
Dy2 Dy 0.0968 0.5000 0.2267 1
Dy3 Dy 0.1685 0.2669 0.6875 1
```

Computed properties:
formation enthalpy at 0 K	143.2	meV per atom

This record from Alexandria describes a relaxed structure of Ac3La7Dy2. The functional is PBE.

```
data_Ac3La7Dy2
_chemical_formula_sum 'Ac9 La21 Dy6'
_cell_length_a 7.1960
_cell_length_b 7.1960
_cell_length_c 30.9179
_cell_angle_alpha 90.00
_cell_angle_beta 90.00
_cell_angle_gamma 120.00
_space_group_name_H-M_alt 'R -3 m'
_space_group_IT_number 166
_space_group_name_Hall '-R 3 2"'
loop_
_atom_site_label
_atom_site_type_symbol
_atom_site_fract_x
_atom_site_fract_y
_atom_site_fract_z
_atom_site_occupancy
Ac1 Ac 0.0000 0.0000 0.0000 1
Ac2 Ac 0.0000 0.0000 0.1325 1
La1 La 0.0000 0.0000 0.5000 1
La2 La 0.0370 0.5185 0.9099 1
Dy1 Dy 0.0000 0.0000 0.3400 1
```

Computed properties:
formation enthalpy at 0 K	181.9	meV per atom

This record from Alexandria describes a relaxed structure of Ac4La2Dy3. The functional is PBE.

```
data_Ac4La2Dy3
_chemical_formula_sum 'Ac8 La4 Dy6'
_cell_length_a 11.8870
_cell_length_b 5.4134
_cell_length_c 11.3200
_cell_angle_alpha 90.00
_cell_angle_beta 108.03
_cell_angle_gamma 90.00
_space_group_name_H-M_alt 'C 1 2/m 1'
_space_group_IT_number 12
loop_
_space_group_symop_operation_xyz
'x,y,z'
'-x,-y,-z'
'-x,y,-z'
'x,-y,z'
'x+1/2,y+1/2,z'
'-x+1/2,-y+1/2,-z'
'-x+1/2,y+1/2,-z'
'x+1/2,-y+1/2,z'
loop_
_atom_site_label
_atom_site_type_symbol
_atom_site_fract_x
_atom_site_fract_y
_atom_site_fract_z
_atom_site_occupancy
Ac1 Ac 0.0065 0.0000 0.3353 1
Ac2 Ac 0.1662 0.5000 0.8875 1
La1 La 0.1703 0.5000 0.2279 1
Dy1 Dy 0.0000 0.0000 0.0000 1
Dy2 Dy 0.1639 0.5000 0.5512 1
```

Computed properties:
formation enthalpy at 0 K	49.4	meV per atom

This record from Alexandria describes a relaxed structure of Ac12LaDy7. The functional is PBE.

```
data_Ac12LaDy7
_chemical_formula_sum 'Ac36 La3 Dy21'
_cell_length_a 20.6057
_cell_length_b 20.6057
_cell_length_c 6.8265
_cell_angle_alpha 90.00
_cell_angle_beta 90.00
_cell_angle_gamma 120.00
_space_group_name_H-M_alt 'R -3'
_space_group_IT_number 148
_space_group_name_Hall '-R 3'
loop_
_atom_site_label
_atom_site_type_symbol
_atom_site_fract_x
_atom_site_fract_y
_atom_site_fract_z
_atom_site_occupancy
Ac1 Ac 0.0280 0.4245 0.0643 1
Ac2 Ac 0.1091 0.2205 0.8966 1
La1 La 0.0000 0.0000 0.5000 1
Dy1 Dy 0.0000 0.0000 0.0000 1
Dy2 Dy 0.0526 0.8797 0.3900 1
```

Computed properties:
formation enthalpy at 0 K	254.9	meV per atom

This record from Alexandria describes a relaxed structure of Ac2LaDy. The functional is PBE.

```
data_Ac2LaDy
_chemical_formula_sum 'Ac8 La4 Dy4'
_cell_length_a 8.6047
_cell_length_b 8.6047
_cell_length_c 8.6047
_cell_angle_alpha 90.00
_cell_angle_beta 90.00
_cell_angle_gamma 90.00
_space_group_name_H-M_alt 'F m -3 m'
_space_group_IT_number 225
_space_group_name_Hall '-F 4 2 3'
loop_
_atom_site_label
_atom_site_type_symbol
_atom_site_fract_x
_atom_site_fract_y
_atom_site_fract_z
_atom_site_occupancy
Ac1 Ac 0.2500 0.2500 0.2500 1
La1 La 0.0000 0.0000 0.0000 1
Dy1 Dy 0.0000 0.0000 0.5000 1
```

Computed properties:
formation enthalpy at 0 K	134.0	meV per atom

no.,DOS at the Fermi energy (states/eV/f.u.),raw total energy (eV/atom)
1,19.6,-4.164
2,16.9,-4.601
3,19.2,-4.756
4,29.1,-4.270
5,17.6,-4.355
6,17.5,-4.428
7,15.3,-4.487
8,15.6,-4.406
9,34.4,-4.067
10,10.2,-4.303